1.
A plane-wave DFT calculation with GGA-PBE was carried out for a relaxed structure of HoPu3Au4.

Geometry as POSCAR:
```
HoPu3Au4
1.0
3.616 0.000 0.000
0.000 3.616 0.000
0.002 0.002 14.594
Au Pu Ho
4 3 1
Cartesian
3.617 3.616 5.443 Au
0.001 0.001 9.152 Au
3.618 0.001 12.936 Au
0.000 3.616 1.658 Au
1.808 1.808 3.603 Pu
1.809 1.809 7.297 Pu
1.809 1.809 10.992 Pu
1.808 1.808 0.000 Ho
```

Calculated values
Calculated volume, Å³ per atom: 23.85
Calculated density, g/cm³: 14.66
SG: P4/mmm, No. 123
E_form, eV/f.u.: -4.12
DOS at the Fermi energy, states/eV/f.u.: 29.1

=====

2.
A plane-wave DFT calculation with GGA-PBE was carried out for a relaxed structure of Ho2PuAu.

Geometry as POSCAR:
```
Ho2PuAu
1.0
3.553 0.000 0.000
0.000 3.553 0.000
0.000 0.000 8.337
Ho Pu Au
2 1 1
Cartesian
0.000 0.000 1.763 Ho
0.000 0.000 6.573 Ho
1.777 1.777 4.168 Pu
1.777 1.777 0.000 Au
```

Calculated values
Calculated volume, Å³ per atom: 26.31
Calculated density, g/cm³: 12.16
SG: P4/mmm, No. 123
E_form, eV/f.u.: -1.30
Excess energy over the best structure of this formula in the dataset, meV/atom: 0
DOS at the Fermi energy, states/eV/f.u.: 7.8

=====

3.
A plane-wave DFT calculation with GGA-PBE was carried out for a relaxed structure of HoPuAu.

Geometry as POSCAR:
```
HoPuAu
1.0
5.024 -0.787 0.445
-0.145 5.083 0.445
1.237 1.089 6.518
Au Pu Ho
2 2 2
Cartesian
4.968 4.375 5.593 Au
1.147 1.010 1.815 Au
3.968 1.658 3.704 Pu
2.147 3.727 3.704 Pu
3.759 0.650 0.445 Ho
1.120 3.646 0.445 Ho
```

Calculated values
Calculated volume, Å³ per atom: 26.66
Calculated density, g/cm³: 12.58
SG: C2/m, No. 12
E_form, eV/f.u.: -0.60
Excess energy over the best structure of this formula in the dataset, meV/atom: 142
DOS at the Fermi energy, states/eV/f.u.: 7.7

=====

4.
A plane-wave DFT calculation with GGA-PBE was carried out for a relaxed structure of HoPuAu6.

Geometry as POSCAR:
```
HoPuAu6
1.0
4.704 0.000 1.284
2.365 4.237 0.595
0.225 -1.289 8.432
Au Ho Pu
6 1 1
Cartesian
3.926 0.046 4.135 Au
3.369 2.903 6.177 Au
3.114 0.086 7.109 Au
2.100 1.434 1.564 Au
4.180 2.863 3.202 Au
5.194 1.515 8.748 Au
0.000 0.000 0.000 Ho
1.295 1.474 4.514 Pu
```

Calculated values
Calculated volume, Å³ per atom: 20.82
Calculated density, g/cm³: 15.86
SG: C2/m, No. 12
E_form, eV/f.u.: -4.11
DOS at the Fermi energy, states/eV/f.u.: 14.7

=====

5.
A plane-wave DFT calculation with GGA-PBE was carried out for a relaxed structure of Ho5Pu3Au12.

Geometry as POSCAR:
```
Ho5Pu3Au12
1.0
14.514 0.000 0.000
-4.838 13.684 0.000
-4.838 -6.842 11.850
Au Ho Pu
48 20 12
Cartesian
6.544 7.577 6.737 Au
-3.132 7.482 9.119 Au
6.416 2.136 1.764 Au
1.578 0.826 6.893 Au
-3.997 11.548 1.764 Au
1.706 5.467 7.845 Au
0.713 8.217 7.845 Au
-5.090 0.009 9.931 Au
3.260 6.016 4.957 Au
-0.252 8.500 0.968 Au
2.167 -1.667 10.899 Au
9.928 6.832 1.920 Au
6.416 10.722 3.194 Au
0.125 4.908 4.973 Au
10.517 2.962 3.194 Au
-4.963 10.182 4.162 Au
-2.544 -5.274 11.039 Au
7.970 -0.640 2.732 Au
-1.706 -0.735 5.114 Au
2.671 8.509 0.952 Au
5.679 -0.826 6.893 Au
4.713 1.934 6.877 Au
-5.679 3.880 8.657 Au
-0.841 7.668 4.957 Au
5.090 -1.658 10.882 Au
3.132 1.375 4.005 Au
2.294 8.776 4.973 Au
-0.252 5.174 0.952 Au
-4.125 6.107 6.737 Au
7.382 3.502 4.162 Au
-1.578 4.706 10.087 Au
-2.544 3.340 7.689 Au
7.004 6.851 1.920 Au
-4.713 5.274 11.039 Au
5.090 1.667 10.899 Au
2.671 5.184 0.968 Au
7.382 12.116 0.812 Au
9.801 -3.340 7.689 Au
-2.167 -0.009 9.931 Au
4.125 -1.375 4.005 Au
8.835 -4.706 10.087 Au
8.963 0.735 5.114 Au
2.544 -1.934 6.877 Au
9.551 1.568 0.812 Au
-1.578 -3.880 8.657 Au
5.551 6.202 9.119 Au
2.167 1.658 10.882 Au
-0.713 0.640 2.732 Au
-2.419 -3.421 5.925 Ho
-3.628 7.697 4.444 Ho
1.209 4.276 10.369 Ho
-4.838 3.421 5.925 Ho
0.000 0.000 0.000 Ho
-1.209 3.421 2.963 Ho
1.209 -3.421 8.888 Ho
-1.209 11.118 1.481 Ho
2.419 3.421 5.925 Ho
4.838 6.842 0.000 Ho
6.047 5.987 4.444 Ho
3.628 10.263 2.963 Ho
6.047 3.421 8.888 Ho
-2.419 6.842 0.000 Ho
-1.209 0.855 7.407 Ho
6.047 -4.276 10.369 Ho
8.466 -0.855 7.407 Ho
7.257 0.000 0.000 Ho
4.838 -3.421 5.925 Ho
3.628 2.566 1.481 Ho
8.466 4.276 1.481 Pu
-6.047 6.842 8.888 Pu
1.209 6.842 2.963 Pu
-3.628 2.566 10.369 Pu
3.628 7.697 7.407 Pu
-1.209 5.987 7.407 Pu
10.885 0.000 2.963 Pu
3.628 0.000 8.888 Pu
8.466 9.408 1.481 Pu
6.047 0.855 4.444 Pu
-3.628 -2.566 10.369 Pu
1.209 -0.855 4.444 Pu
```

Calculated values
Calculated volume, Å³ per atom: 29.42
Calculated density, g/cm³: 11.06
SG: Ia-3d, No. 230
E_form, eV/f.u.: -5.76
DOS at the Fermi energy, states/eV/f.u.: 49.7

=====

6.
A plane-wave DFT calculation with GGA-PBE was carried out for a relaxed structure of HoPuAu4.

Geometry as POSCAR:
```
HoPuAu4
1.0
3.747 0.000 0.000
0.000 3.747 0.000
0.000 0.000 9.254
Pu Au Ho
1 4 1
Cartesian
0.000 0.000 0.000 Pu
3.747 3.747 6.115 Au
1.874 1.874 1.606 Au
1.873 1.873 7.648 Au
0.000 0.000 3.139 Au
1.873 1.873 4.627 Ho
```

Calculated values
Calculated volume, Å³ per atom: 21.66
Calculated density, g/cm³: 15.29
SG: P4/mmm, No. 123
E_form, eV/f.u.: -3.83
Excess energy over the best structure of this formula in the dataset, meV/atom: 0
DOS at the Fermi energy, states/eV/f.u.: 14.4

=====

7.
A plane-wave DFT calculation with GGA-PBE was carried out for a relaxed structure of Ho4PuAu5.

Geometry as POSCAR:
```
Ho4PuAu5
1.0
-1.567 -1.188 2.966
-0.590 -3.139 -1.570
16.156 -6.088 6.098
Au Ho Pu
5 4 1
Cartesian
0.698 -2.833 1.369 Au
10.189 -6.410 4.952 Au
13.300 -7.582 6.126 Au
3.808 -4.005 2.543 Au
6.999 -5.208 3.747 Au
9.680 -3.648 3.654 Ho
3.267 -1.231 1.233 Ho
12.889 -4.857 4.865 Ho
6.476 -2.440 2.445 Ho
0.000 0.000 0.000 Pu
```

Calculated values
Calculated volume, Å³ per atom: 23.19
Calculated density, g/cm³: 13.52
SG: P4/mmm, No. 123
E_form, eV/f.u.: -7.82
DOS at the Fermi energy, states/eV/f.u.: 12.5

=====

8.
A plane-wave DFT calculation with GGA-PBE was carried out for a relaxed structure of HoPuRhAu.

Geometry as POSCAR:
```
HoPuRhAu
1.0
-2.152 -0.799 2.549
-2.376 -0.924 -2.295
2.637 -6.918 0.057
Rh Pu Au Ho
1 1 1 1
Cartesian
-0.690 -4.991 0.161 Rh
2.201 -5.776 0.048 Pu
-1.942 -1.707 0.134 Au
0.986 -2.586 0.021 Ho
```

Calculated values
Calculated volume, Å³ per atom: 21.78
Calculated density, g/cm³: 13.51
SG: P4mm, No. 99
E_form, eV/f.u.: -2.54
Excess energy over the best structure of this formula in the dataset, meV/atom: 0
DOS at the Fermi energy, states/eV/f.u.: 10.5

=====

9.
A plane-wave DFT calculation with GGA-PBE was carried out for a relaxed structure of HoPuRhAu.

Geometry as POSCAR:
```
HoPuRhAu
1.0
4.984 0.000 0.000
2.492 4.316 0.000
2.492 1.439 4.069
Au Rh Pu Ho
1 1 1 1
Cartesian
7.476 4.316 3.052 Au
2.492 1.439 1.017 Rh
0.000 0.000 0.000 Pu
4.984 2.877 2.035 Ho
```

Calculated values
Calculated volume, Å³ per atom: 21.88
Calculated density, g/cm³: 13.45
SG: F-43m, No. 216
E_form, eV/f.u.: -2.27
Excess energy over the best structure of this formula in the dataset, meV/atom: 67
DOS at the Fermi energy, states/eV/f.u.: 12.5

=====

10.
A plane-wave DFT calculation with GGA-PBE was carried out for a relaxed structure of HoPuSbAu.

Geometry as POSCAR:
```
HoPuSbAu
1.0
-2.390 -4.440 -1.384
2.622 -4.523 0.107
-1.137 -3.596 3.622
Sb Pu Au Ho
1 1 1 1
Cartesian
-0.452 -6.280 1.172 Sb
-0.226 -3.140 0.586 Pu
0.000 0.000 0.000 Au
-0.679 -9.419 1.758 Ho
```

Calculated values
Calculated volume, Å³ per atom: 25.27
DFT total energy, eV/atom: -7.2186
Calculated density, g/cm³: 11.95
SG: F-43m, No. 216
DOS at the Fermi energy, states/eV/f.u.: 10.6

=====

11.
A plane-wave DFT calculation with GGA-PBE was carried out for a relaxed structure of HoPuSiAu.

Geometry as POSCAR:
```
HoPuSiAu
1.0
-1.460 -3.654 3.173
2.747 -4.221 0.429
2.634 -0.883 4.223
Pu Au Si Ho
1 1 1 1
Cartesian
1.961 -4.379 3.912 Pu
2.941 -6.568 5.868 Au
0.980 -2.189 1.956 Si
0.000 0.000 0.000 Ho
```

Calculated values
Calculated volume, Å³ per atom: 22.83
DFT total energy, eV/atom: -7.3943
Calculated density, g/cm³: 11.53
SG: F-43m, No. 216
DOS at the Fermi energy, states/eV/f.u.: 9.8

=====

12.
A plane-wave DFT calculation with GGA-PBE was carried out for a relaxed structure of HoPuTcAu.

Geometry as POSCAR:
```
HoPuTcAu
1.0
-0.309 4.833 0.977
-1.462 1.529 4.465
3.242 2.111 3.072
Au Pu Ho Tc
1 1 1 1
Cartesian
0.368 2.118 2.129 Au
0.000 0.000 0.000 Pu
0.735 4.237 4.257 Ho
1.103 6.355 6.386 Tc
```

Calculated values
Calculated volume, Å³ per atom: 21.32
Calculated density, g/cm³: 13.71
SG: F-43m, No. 216
E_form, eV/f.u.: -0.71
DOS at the Fermi energy, states/eV/f.u.: 8.3